GGA-PBE CoTe3, optimized geometry; raw total energy = -3.329 eV per atom
1.0
-0.1699 -4.0884 -2.1858
4.5238 0.3321 -0.9728
1.0137 -2.1671 3.9746
Te Co
3 1
Cartesian
0.4219 -3.1277 0.8944
2.7688 -0.9175 1.5009
2.1770 -1.8782 -1.5793
0.0000 0.0000 0.0000

=====

GGA-PBE Co2Te, optimized geometry; raw total energy = -5.547 eV per atom; offset from the most stable computed form = 0.027 eV per atom
1.0
6.1600 0.0000 0.0000
0.0000 3.7870 0.0000
0.0000 0.0000 7.3594
Co Te
8 4
Cartesian
2.8154 0.9467 2.4151
0.2646 2.8402 6.0948
2.2316 0.9467 6.8901
5.3116 0.9467 4.1490
5.8954 0.9467 1.2645
3.3446 2.8402 4.9442
3.9284 2.8402 0.4693
0.8484 2.8402 3.2104
4.6584 0.9467 6.4442
4.5816 2.8402 2.7645
1.5784 0.9467 4.5949
1.5016 2.8402 0.9152

=====

GGA-PBE CoTe2, optimized geometry; raw total energy = -4.535 eV per atom
1.0
1.8291 1.0560 6.1649
-1.8291 1.0560 6.1649
0.0000 -2.1121 6.1649
Co Te
1 2
Cartesian
0.0000 0.0000 0.0093
0.0000 0.0000 4.7033
0.0000 0.0000 7.6549

=====

GGA-PBE Co7Te2, optimized geometry; raw total energy = -5.699 eV per atom
1.0
2.9092 0.0000 0.0000
-1.4546 2.5194 0.0000
0.0000 0.0000 27.7006
Co Te
7 2
Cartesian
1.4546 0.8398 19.1655
1.4546 0.8398 8.5392
0.0000 1.6796 15.6234
1.4546 0.8398 13.8462
0.0000 0.0000 17.3762
0.0000 0.0000 12.0697
0.0000 1.6796 10.3240
0.0000 1.6796 21.1714
0.0000 0.0000 6.5372

=====

GGA-PBE CoTe3, optimized geometry; raw total energy = -4.085 eV per atom
1.0
8.4756 0.0000 0.0000
-4.2378 7.3401 0.0000
0.0000 0.0000 3.6098
Te Co
6 2
Cartesian
-1.5720 5.8010 0.9025
5.8098 1.5391 2.7074
0.0000 3.0782 0.9025
1.5720 5.8010 0.9025
4.2378 4.2619 2.7074
2.6658 1.5391 2.7074
4.2378 2.4467 0.9025
0.0000 4.8934 2.7074

=====

GGA-PBE Co15Te, optimized geometry; raw total energy = -6.779 eV per atom; offset from the most stable computed form = 0.010 eV per atom
1.0
-3.2790 3.7083 -0.2768
-1.5906 -1.1905 2.8937
19.9055 18.9888 18.7541
Co Te
30 2
Cartesian
11.9959 14.1706 14.5529
5.9200 11.7951 10.2357
8.4390 8.9055 8.3027
1.4924 7.5754 6.0659
4.4464 10.3821 8.8444
9.7490 13.5683 10.9411
14.3391 14.5269 13.8586
4.6144 7.1226 7.5957
13.4295 15.5378 15.9034
6.7981 10.7569 8.1624
12.6940 16.3876 13.7198
11.3849 11.7195 11.0797
6.0820 8.5336 8.9830
5.5104 6.1116 5.5434
2.9689 8.9839 7.4570
8.8726 14.6089 13.0164
11.2167 14.9792 12.3283
7.5601 9.9367 10.3727
10.5062 12.7497 13.1495
8.2713 12.1653 9.5516
3.1376 5.7146 6.2047
10.3207 15.9900 14.3806
9.0331 11.3449 11.7618
3.8345 7.9305 5.3705
7.3923 13.1965 11.6216
6.9586 7.4930 6.9078
12.8622 13.1178 12.4670
9.9115 10.3070 9.6887
5.3251 9.3521 6.7747
2.4027 6.5648 4.0216
12.0591 17.6492 16.0188
3.7717 4.4520 3.9049

=====

GGA-PBE Co2Te, optimized geometry; raw total energy = -4.978 eV per atom; offset from the most stable computed form = 0.596 eV per atom
1.0
5.2505 0.0000 0.0000
0.0000 5.2505 0.0000
0.0000 0.0000 4.0006
Co Te
4 2
Cartesian
1.6788 1.6788 0.0000
0.9465 4.3040 2.0003
4.3040 0.9465 2.0003
3.5717 3.5717 0.0000
2.6252 2.6252 2.0003
0.0000 0.0000 0.0000

=====

GGA-PBE Co2Te, optimized geometry; raw total energy = -5.574 eV per atom; offset from the most stable computed form = 0.000 eV per atom
1.0
0.0000 2.8569 2.8569
2.8569 0.0000 2.8569
2.8569 2.8569 0.0000
Co Te
2 1
Cartesian
4.2854 4.2854 4.2854
1.4285 1.4285 1.4285
0.0000 0.0000 0.0000

=====

GGA-PBE CoTe2, optimized geometry; raw total energy = -4.323 eV per atom
1.0
4.4236 -1.0297 -0.4635
1.8216 -3.3967 2.4470
1.2363 -3.8852 -2.0544
Co Te
1 2
Cartesian
0.0000 0.0000 0.0000
1.8704 -2.0779 -0.0177
5.6111 -6.2337 -0.0531

=====

GGA-PBE TlCoTe, optimized geometry; raw total energy = -3.952 eV per atom; offset from the most stable computed form = 0.000 eV per atom
1.0
0.0000 3.2138 3.2138
3.2138 0.0000 3.2138
3.2138 3.2138 0.0000
Co Tl Te
1 1 1
Cartesian
0.0000 0.0000 0.0000
4.8206 4.8206 4.8206
1.6069 1.6069 1.6069

=====

GGA-PBE Tl2CoTe, optimized geometry; raw total energy = -3.224 eV per atom
1.0
0.0000 3.6757 3.6757
3.6757 0.0000 3.6757
3.6757 3.6757 0.0000
Te Tl Co
1 2 1
Cartesian
3.6757 3.6757 3.6757
0.0000 0.0000 0.0000
5.5136 5.5136 5.5136
1.8379 1.8379 1.8379

=====

GGA-PBE TlCo3Te5, optimized geometry; raw total energy = -4.417 eV per atom
1.0
-2.6744 4.4224 -2.4288
-2.7434 -4.9584 0.7055
-2.4126 2.3117 6.8657
Te Co Tl
5 3 1
Cartesian
-1.2063 1.1559 3.4329
-4.5131 3.0352 3.7830
-3.2943 1.8675 0.3147
-3.3173 -1.2595 1.3594
-4.5361 -0.0917 4.8277
-2.5435 3.3671 2.2185
-2.5780 -1.3233 3.7856
-3.9152 0.8879 2.5712
0.0000 0.0000 0.0000

=====

GGA-PBE TmTlCoTe3, optimized geometry; raw total energy = -4.484 eV per atom; offset from the most stable computed form = 0.021 eV per atom
1.0
8.0264 -2.0740 0.0000
8.0264 2.0740 0.0000
0.0000 0.0000 11.0887
Tm Te Tl Co
2 6 2 2
Cartesian
0.0000 0.0000 5.5444
0.0000 0.0000 0.0000
10.0753 0.0000 4.7601
10.0753 0.0000 0.7842
5.9774 0.0000 6.3286
14.8699 0.0000 2.7722
5.9774 0.0000 10.3045
1.1828 0.0000 8.3165
3.9175 0.0000 2.7722
12.1352 0.0000 8.3165
8.4276 0.0000 2.7722
7.6251 0.0000 8.3165

=====

GGA-PBE TmTlCoTe3, optimized geometry; raw total energy = -4.422 eV per atom; offset from the most stable computed form = 0.083 eV per atom
1.0
12.4275 0.0000 0.0000
0.0000 4.3051 0.0000
0.0000 0.0000 12.9574
Te Co Tl Tm
12 4 4 4
Cartesian
6.6288 1.0763 10.9625
11.1269 1.0763 12.2009
3.3727 3.2288 10.2061
7.5143 3.2288 5.7222
9.0548 1.0763 2.7513
1.3005 3.2288 0.7565
9.5865 3.2288 9.2299
2.8410 1.0763 3.7275
12.0124 3.2288 4.4838
5.7987 3.2288 1.9949
4.9132 1.0763 7.2352
0.4151 1.0763 8.4736
2.9421 1.0763 8.9262
9.4854 3.2288 4.0312
9.1558 1.0763 10.5099
3.2717 3.2288 2.4475
2.2643 3.2288 6.5470
3.9495 1.0763 0.0683
10.1632 1.0763 6.4104
8.4780 3.2288 12.8891
5.9676 1.0763 4.1318
12.1813 1.0763 2.3469
0.2462 3.2288 10.6105
6.4599 3.2288 8.8256

=====

GGA-PBE TmTlCoTe3, optimized geometry; raw total energy = -4.411 eV per atom; offset from the most stable computed form = 0.093 eV per atom
1.0
-1.8077 -2.8609 -2.4915
0.2666 -8.3331 9.3752
-11.4198 3.9080 3.7983
Te Co Tm Tl
12 4 4 4
Cartesian
-0.6001 -7.7389 7.5497
-6.5932 -3.3068 3.2648
-12.3609 0.4529 3.1323
-2.9257 -1.7320 2.3395
-10.5865 -1.9089 8.1010
-4.7783 -6.9356 9.6588
-10.0353 -5.5540 8.3425
-4.3381 -7.1093 5.9948
-2.3745 -5.3771 2.5810
-8.1827 -0.3504 1.0232
-6.3678 -3.9791 7.4173
-8.6228 -0.1767 4.6872
-4.3634 -3.7868 2.1980
-2.8482 -6.6864 7.9723
-8.5976 -3.4992 8.4840
-10.1127 -0.5995 2.7097
-7.2530 -6.8189 7.7763
-5.7079 -0.4670 2.9057
-11.3848 0.4557 5.9651
-1.5761 -7.7417 4.7169
-9.1667 -3.5846 5.4510
-9.3715 -5.8957 11.7974
-3.7943 -3.7013 5.2310
-3.5895 -1.3903 -1.1154

=====

GGA-PBE TmTlCoTe3, optimized geometry; raw total energy = -4.497 eV per atom; offset from the most stable computed form = 0.008 eV per atom
1.0
-2.4603 -4.3689 7.4561
-2.1903 -2.6522 -2.2768
9.3379 -4.0157 -4.3053
Te Co Tm Tl
6 2 2 2
Cartesian
1.3841 -4.5544 2.1056
-1.6899 -3.1418 -0.3195
3.3033 -6.4824 -1.2316
6.3773 -7.8950 1.1935
2.3111 -2.2046 -1.5236
2.3763 -8.8322 2.3976
4.5425 -9.6706 1.2903
0.1449 -1.3662 -0.4163
3.8223 -6.2706 1.7591
0.8651 -4.7662 -0.8851
6.2900 -5.0563 -2.0293
-1.6026 -5.9805 2.9033

=====

GGA-PBE TmTlCoTe3, optimized geometry; raw total energy = -4.505 eV per atom; offset from the most stable computed form = 0.000 eV per atom
1.0
-1.8933 -15.0399 5.8266
1.9696 1.0923 3.4594
-9.7651 3.0144 4.6080
Te Tl Tm Co
12 4 4 4
Cartesian
-1.4590 -3.9753 5.7801
-8.0210 -2.7921 9.1426
-6.8913 0.4412 5.0157
-2.7974 -11.3743 8.8783
-1.6677 -8.1411 4.7514
-6.2046 -11.1650 10.7521
-8.2297 -6.9578 8.1139
-3.7761 -6.9880 8.0506
-5.9126 -3.9452 5.8434
-3.4841 0.2318 3.1419
0.5096 -0.4988 3.5616
-10.1983 -10.4344 10.3324
-4.0427 -1.2035 6.3760
-9.5002 -7.3309 11.4179
-5.6460 -9.7297 7.5180
-0.1885 -3.6022 2.4761
-6.7546 3.0153 6.5879
-2.9341 -13.9485 7.3061
-3.7199 -5.8938 5.2102
-5.9688 -5.0394 8.6837
-4.4263 -12.8302 10.2654
-9.3839 -4.6428 8.0401
-0.3048 -6.2903 5.8539
-5.2624 1.8970 3.6286

=====

GGA-PBE TmTlCoTe3, optimized geometry; raw total energy = -4.409 eV per atom; offset from the most stable computed form = 0.096 eV per atom
1.0
10.6051 0.0000 0.0000
0.0000 4.2874 0.0000
0.0000 0.0000 15.7575
Te Co Tm Tl
12 4 4 4
Cartesian
5.5231 3.2156 5.9963
2.3334 1.0719 4.3495
10.3845 1.0719 13.8750
0.2206 3.2156 1.8825
1.7787 3.2156 8.0813
8.8264 1.0719 7.6763
7.0813 3.2156 15.5550
3.5238 1.0719 0.2025
5.0820 1.0719 9.7613
2.9692 3.2156 12.2283
8.2717 3.2156 11.4080
7.6359 1.0719 3.5293
8.9954 3.2156 13.8240
1.6097 1.0719 1.9335
6.9122 1.0719 5.9452
3.6929 3.2156 9.8123
8.9168 1.0719 0.7805
6.9909 3.2156 8.6592
3.6142 1.0719 7.0983
1.6883 3.2156 14.9771
9.9794 3.2156 5.1647
0.6257 1.0719 10.5928
4.6768 3.2156 2.7140
5.9283 1.0719 13.0435

=====

GGA-PBE TmTlCoTe3, optimized geometry; raw total energy = -4.329 eV per atom; offset from the most stable computed form = 0.175 eV per atom
1.0
8.7577 -2.1815 0.0000
8.7577 2.1815 0.0000
-2.1383 0.0000 9.2635
Tm Te Co Tl
2 6 2 2
Cartesian
13.6025 0.0000 3.9033
1.7746 0.0000 5.3602
9.6463 0.0000 7.2438
5.7307 0.0000 2.0197
4.6937 0.0000 6.0499
10.6833 0.0000 3.2136
8.7577 0.0000 0.0000
-1.0691 0.0000 4.6318
7.3376 0.0000 6.0641
8.0394 0.0000 3.1994
12.9913 0.0000 8.7190
2.3857 0.0000 0.5445

=====

GGA-PBE Tm7Co2Te2, optimized geometry; raw total energy = -5.324 eV per atom
1.0
-6.9866 -0.5806 -5.9943
-1.7978 -0.6873 9.0209
1.6308 4.3290 -7.9801
Tm Te Co
7 2 2
Cartesian
-4.1093 2.8904 -3.8675
-2.7799 -0.4012 0.9578
-1.6616 2.2648 -1.2861
-4.9603 1.9577 -0.7408
-7.0568 0.5705 -3.1282
-2.9687 0.5638 4.4560
-7.1857 -0.4269 0.3409
-8.6076 -1.2423 2.9657
-3.4094 1.7686 -6.7352
0.7382 3.1275 -3.9194
-3.4339 0.5771 -2.5701